## SrTbAgTe2S (GGA-PBE)

Data for a relaxed structure of SrTbAgTe2S.

Unit cell a=7.6263 b=7.6263 c=10.6449 alpha=90.00 beta=90.00 gamma=146.96
Fractional coordinates of all 12 atoms:
Sr (0.2272, 0.7728, 0.7500)
Sr (0.7728, 0.2272, 0.2500)
Tb (0.5000, 0.5000, 0.0000)
Tb (0.5000, 0.5000, 0.5000)
Ag (0.0197, 0.9803, 0.2500)
Ag (0.9803, 0.0197, 0.7500)
Te (0.1476, 0.8524, 0.0560)
Te (0.1476, 0.8524, 0.4440)
Te (0.8524, 0.1476, 0.5560)
Te (0.8524, 0.1476, 0.9440)
S (0.4235, 0.5765, 0.2500)
S (0.5765, 0.4235, 0.7500)

Calculated values
M_tot   0.00 μB/atom
Crystal system   orthorhombic
Calculated total energy   -55.09 eV per cell